P:
This record from OQMD describes a geometry-optimized LiNiBPb structure. The functional is GGA-PBE.

Cell: 4.270 4.270 4.270 Å, 60.00 60.00 60.00°
Positions (direct):
Li: 0.000 0.000 0.000
Ni: 0.500 0.500 0.500
B: 0.250 0.250 0.250
Pb: 0.750 0.750 0.750

=====

Q:
This record from OQMD describes a geometry-optimized LiNiBPb structure. The functional is GGA-PBE.

Cell: 4.350 4.350 4.350 Å, 60.00 60.00 60.00°
Positions (direct):
Li: 0.000 0.000 0.000
Ni: 0.250 0.250 0.250
B: 0.750 0.750 0.750
Pb: 0.500 0.500 0.500

=====

R:
This record from OQMD describes a geometry-optimized LiNiBPb structure. The functional is GGA-PBE.

Cell: 4.274 4.274 4.274 Å, 60.00 60.00 60.00°
Positions (direct):
Li: 0.000 0.000 0.000
Ni: 0.250 0.250 0.250
B: 0.500 0.500 0.500
Pb: 0.750 0.750 0.750

=====

It comes down to P, which is 94 meV/atom more stable than the next structure.